# 1
Crystalline Zr2NbHg2 at its relaxed geometry, computed with PBE.

```
Zr2NbHg2
1.0
5.5038 -1.4870 0.7121
1.3267 5.7521 0.6510
0.7627 0.4684 3.2976
Zr Nb Hg
2 1 2
Cartesian
5.1857 -0.0632 3.2378 Zr
2.4075 4.7967 1.4229 Zr
0.6633 2.8761 0.3255 Nb
2.7933 1.3656 1.8197 Hg
4.7999 3.3679 2.8410 Hg
```

Energy above the most stable polymorph in this dataset: 0.0000 eV/atom
DOS at the Fermi energy: 3.500 states/eV/f.u.

# 2
Crystalline ZrNbHg at its relaxed geometry, computed with PBE.

```
ZrNbHg
1.0
-3.1297 -1.2177 -0.0130
1.0243 -2.6519 1.7879
-2.2004 5.5538 9.4986
Zr Nb Hg
2 2 2
Cartesian
-2.2233 3.3156 7.7690 Zr
-2.0825 -1.6313 3.5044 Zr
-0.6731 -0.5969 1.0772 Nb
-3.6327 2.2812 10.1962 Nb
-2.8809 0.3835 6.9507 Hg
-1.4249 1.3008 4.3227 Hg
```

Energy above the most stable polymorph in this dataset: 0.0000 eV/atom
DOS at the Fermi energy: 1.761 states/eV/f.u.

# 3
Crystalline Nd5Hg at its relaxed geometry, computed with PBE.

```
Nd5Hg
1.0
-1.4684 -0.8297 -3.4068
-4.7959 -7.4475 1.7601
-6.5383 0.9895 0.4562
Nd Hg
5 1
Cartesian
-10.9190 -6.4436 2.0339 Nd
-4.1770 -5.2592 -1.1605 Nd
-2.1690 -2.3270 -0.6193 Nd
-7.4453 -5.6309 0.3387 Nd
-5.3967 -2.5093 0.8163 Nd
-4.6071 -0.7378 -2.0763 Hg
```

Energy above the most stable polymorph in this dataset: 0.0117 eV/atom
DOS at the Fermi energy: 6.906 states/eV/f.u.

# 4
Crystalline NdHg6 at its relaxed geometry, computed with PBE.

```
NdHg6
1.0
-2.7721 -3.0338 5.4389
4.1013 -4.3978 -3.2107
3.6116 5.4189 2.0154
Nd Hg
1 6
Cartesian
0.0000 0.0000 0.0000 Nd
4.1887 -1.3473 -0.0406 Hg
2.5928 -3.4605 0.8153 Hg
4.0663 1.1069 1.2659 Hg
0.7520 -0.6653 4.2842 Hg
2.3479 1.4478 3.4283 Hg
0.8745 -3.1195 2.9777 Hg
```

Energy above the most stable polymorph in this dataset: 0.5804 eV/atom
DOS at the Fermi energy: 6.570 states/eV/f.u.

# 5
Crystalline NdHg5 at its relaxed geometry, computed with PBE.

```
NdHg5
1.0
4.9300 0.0000 0.0000
0.0000 4.5556 0.0000
0.0000 -2.2778 6.8451
Nd Hg
1 5
Cartesian
0.0000 0.0000 0.0000 Nd
2.4650 2.2778 4.5834 Hg
0.0000 2.2778 2.3350 Hg
2.4650 2.2778 0.0000 Hg
0.0000 0.0000 4.5100 Hg
2.4650 0.0000 2.2617 Hg
```

DOS at the Fermi energy: 3.073 states/eV/f.u.

# 6
Crystalline Nd5Hg at its relaxed geometry, computed with PBE.

```
Nd5Hg
1.0
3.7157 0.0000 0.0000
0.0000 3.7157 0.0000
0.0000 0.0000 14.3345
Nd Hg
5 1
Cartesian
0.0000 0.0000 9.1986 Nd
1.8578 1.8578 11.7601 Nd
0.0000 0.0000 0.0000 Nd
1.8578 1.8578 2.5744 Nd
0.0000 0.0000 5.1359 Nd
1.8578 1.8578 7.1673 Hg
```

Energy above the most stable polymorph in this dataset: 0.0000 eV/atom
DOS at the Fermi energy: 8.013 states/eV/f.u.

# 7
Crystalline NdHg2 at its relaxed geometry, computed with PBE.

```
NdHg2
1.0
4.5646 -0.4069 0.9969
1.6765 4.2650 0.9969
6.1371 3.7937 10.0891
Nd Hg
2 4
Cartesian
7.0014 5.9423 8.5638 Nd
5.3768 1.7095 3.5192 Nd
7.4643 3.0000 5.6206 Hg
3.2893 0.4191 1.4178 Hg
4.9139 4.6518 6.4624 Hg
9.0889 7.2327 10.6652 Hg
```

DOS at the Fermi energy: 0.912 states/eV/f.u.

# 8
Crystalline Nd5Hg6 at its relaxed geometry, computed with PBE.

```
Nd5Hg6
1.0
5.0832 0.0051 -1.5732
-0.8818 7.0401 -2.8234
0.1085 -0.3790 9.3468
Nd Hg
5 6
Cartesian
-0.4409 3.5200 -1.4117 Nd
2.8616 4.6053 0.2638 Nd
1.4483 2.0609 4.6865 Nd
1.1067 5.7222 3.5961 Nd
3.2032 0.9440 1.3542 Nd
1.8957 5.1673 -2.8582 Hg
2.3057 1.8779 -1.5384 Hg
4.2365 0.3422 4.6899 Hg
3.7957 3.8592 3.2795 Hg
0.0734 6.3239 0.2604 Hg
0.5142 2.8069 1.6708 Hg
```

DOS at the Fermi energy: 11.087 states/eV/f.u.

# 9
Crystalline NdHg4 at its relaxed geometry, computed with PBE.

```
NdHg4
1.0
7.0334 0.0000 0.0000
0.0000 4.9991 -1.6068
0.0000 -2.8520 8.2448
Nd Hg
2 8
Cartesian
0.0000 0.0000 0.0000 Nd
3.5167 -1.4260 4.1224 Nd
3.0748 0.4493 1.3587 Hg
6.5915 3.1239 1.1569 Hg
3.9586 1.6979 5.2792 Hg
0.4419 -0.9767 5.4811 Hg
5.5961 0.9300 2.9066 Hg
2.0794 2.6431 -0.3910 Hg
1.4373 1.2172 3.7314 Hg
4.9540 -0.4960 7.0290 Hg
```

Energy above the most stable polymorph in this dataset: 0.0412 eV/atom
DOS at the Fermi energy: 2.214 states/eV/f.u.

# 10
Crystalline Nd3Hg7 at its relaxed geometry, computed with PBE.

```
Nd3Hg7
1.0
5.0153 0.0000 0.0000
0.0000 6.5966 -0.2553
-2.5076 -2.4910 8.0183
Nd Hg
3 7
Cartesian
0.0000 0.0000 0.0000 Nd
2.5076 0.8054 4.6747 Nd
0.0000 3.3002 3.0884 Nd
0.0000 3.2983 -0.1276 Hg
2.5076 4.1843 4.6606 Hg
0.0000 -0.0786 3.1025 Hg
2.5076 1.8167 1.4291 Hg
0.0000 2.2889 6.3340 Hg
2.5076 5.1126 1.4936 Hg
0.0000 -1.0070 6.2694 Hg
```

DOS at the Fermi energy: 7.839 states/eV/f.u.

# 11
Crystalline Nd5Hg4 at its relaxed geometry, computed with PBE.

```
Nd5Hg4
1.0
5.8179 0.0000 0.0000
2.9090 6.8751 0.0000
2.9090 0.0000 6.8751
Nd Hg
5 4
Cartesian
5.8180 4.4309 0.7991 Nd
8.7269 6.0760 4.4309 Nd
2.9090 0.7991 2.4442 Nd
5.8179 2.4442 6.0760 Nd
0.0000 0.0000 0.0000 Nd
5.8180 1.9855 2.7428 Hg
2.9090 4.1323 1.9855 Hg
8.7269 2.7428 4.8896 Hg
5.8179 4.8896 4.1323 Hg
```

DOS at the Fermi energy: 9.627 states/eV/f.u.

# 12
Crystalline NdHg2 at its relaxed geometry, computed with PBE.

```
NdHg2
1.0
6.0347 0.0000 0.0000
3.0174 5.2262 0.0000
3.0174 1.7421 4.9273
Nd Hg
2 4
Cartesian
0.0000 0.0000 0.0000 Nd
3.0174 1.7421 1.2318 Nd
4.5260 4.3552 3.0796 Hg
6.0347 1.7421 3.0796 Hg
7.5434 4.3552 3.0796 Hg
6.0347 3.4842 0.6159 Hg
```

DOS at the Fermi energy: 1.910 states/eV/f.u.

Q: Which VASP energy values were calculated for the entries above? A: -5.546 -6.377 -4.161 -0.563 -1.300 -4.173 -2.190 -2.714 -1.446 -2.032 -3.052 -2.071, in eV per atom.